A plane-wave DFT calculation with PBE was carried out for an optimized crystal structure of Rb2CdHgH.

a b c (Å): 5.6150 5.6150 5.2202
angles (deg): 90.00 90.00 90.00
Space group P4/mmm (No. 123)
Symmetry-distinct sites (fractional):
Rb (0.0000, 0.5000, 0.0000) (multiplicity 2)
Cd (0.0000, 0.0000, 0.5000) (multiplicity 1)
Hg (0.5000, 0.5000, 0.5000) (multiplicity 1)
H (0.0000, 0.0000, 0.0000) (multiplicity 1)

Calculated values
ΔE to the lowest computed polymorph = 0.000 eV/atom
Total moment = 0.00 μB/f.u.